[1]
Computed, not measured: a relaxed structure of Tb2Th2Sc7 at the PBE-GGA level of DFT.

CIF file:
```
data_Tb2Th2Sc7
_cell_length_a 5.8417
_cell_length_b 7.5522
_cell_length_c 7.5522
_cell_angle_alpha 90.95
_cell_angle_beta 73.60
_cell_angle_gamma 73.60
_symmetry_space_group_name_H-M 'P 1'
_symmetry_Int_Tables_number 1
loop_
_symmetry_equiv_pos_as_xyz
'x,y,z'
loop_
_atom_site_label
_atom_site_type_symbol
_atom_site_fract_x
_atom_site_fract_y
_atom_site_fract_z
Tb1 Tb 0.5000 0.2053 0.7947
Tb2 Tb 0.5000 0.7947 0.2053
Th1 Th 0.8226 0.3974 0.3974
Th2 Th 0.1774 0.6026 0.6026
Sc1 Sc 0.1699 0.0683 0.5901
Sc2 Sc 0.8301 0.4099 0.9317
Sc3 Sc 0.8301 0.9317 0.4099
Sc4 Sc 0.1699 0.5901 0.0683
Sc5 Sc 0.0000 0.0000 0.0000
Sc6 Sc 0.5703 0.7556 0.7556
Sc7 Sc 0.4297 0.2444 0.2444
```

Computed properties:
DOS at the Fermi energy (states/eV/atom): 1.841
Calculated formation energy (meV per atom): 163.3
Calculated volume (A^3/atom): 27.72

[2]
Computed, not measured: a relaxed structure of RbYHf3 at the PBE-GGA level of DFT.

CIF file:
```
data_RbYHf3
_cell_length_a 5.4922
_cell_length_b 5.4922
_cell_length_c 5.4922
_cell_angle_alpha 90.00
_cell_angle_beta 90.00
_cell_angle_gamma 90.00
_symmetry_space_group_name_H-M 'P 1'
_symmetry_Int_Tables_number 1
loop_
_symmetry_equiv_pos_as_xyz
'x,y,z'
loop_
_atom_site_label
_atom_site_type_symbol
_atom_site_fract_x
_atom_site_fract_y
_atom_site_fract_z
Y1 Y 0.0000 0.0000 0.0000
Hf1 Hf 0.0000 0.5000 0.0000
Hf2 Hf 0.0000 0.0000 0.5000
Hf3 Hf 0.5000 0.0000 0.0000
Rb1 Rb 0.5000 0.5000 0.5000
```

Computed properties:
DOS at the Fermi energy (states/eV/atom): 3.164
Calculated formation energy (meV per atom): 1652.3
Calculated volume (A^3/atom): 33.13

no.,energy above the lowest structure with this stoichiometry (meV/atom)
1,22.3
2,0.0